No. 1
## TiTeIN2 (PBE)

Data for a relaxed TiTeIN2 crystal.

Unit cell a=4.0842 b=4.0842 c=6.8002 alpha=90.00 beta=90.00 gamma=90.00
Site moments in Bohr magnetons follow the coordinates.
Positions (direct):
I  0.0000  0.0000  0.5000  -0.03
N  0.0000  0.5000  0.0000  -0.01
N  0.5000  0.0000  0.0000  -0.01
Te  0.0000  0.0000  0.0000  0.01
Ti  0.5000  0.5000  0.5000  1.96

## Properties
E above lowest polymorph ... 851.3 meV per atom
Energy relative to the elements, uncorrected ... 1441 meV/atom
V ... 113.4 Å³ per cell


No. 2
## TiTe2IN (PBE)

Data for a relaxed TiTe2IN crystal.

Unit cell a=5.7178 b=5.7178 c=3.7792 alpha=90.00 beta=90.00 gamma=90.00
Positions (direct):
I  0.5000  0.5000  0.5000
N  0.0000  0.0000  0.5000
Te  0.0000  0.5000  0.0000
Te  0.5000  0.0000  0.0000
Ti  0.0000  0.0000  0.0000

## Properties
E above lowest polymorph ... 0.0 meV per atom
Energy relative to the elements, uncorrected ... 101 meV/atom
V ... 123.6 Å³ per cell


No. 3
## TiTe2IN (PBE)

Data for a relaxed TiTe2IN crystal.

Unit cell a=5.3072 b=5.3072 c=5.7230 alpha=90.00 beta=90.00 gamma=90.00
Site moments in Bohr magnetons follow the coordinates.
Positions (direct):
I  0.0000  0.0000  0.5000  0.03
N  0.5000  0.5000  0.5000  1.87
Te  0.0000  0.5000  0.0000  -0.02
Te  0.5000  0.0000  0.0000  -0.02
Ti  0.0000  0.0000  0.0000  0.13

## Properties
E above lowest polymorph ... 710.4 meV per atom
Energy relative to the elements, uncorrected ... 812 meV/atom
V ... 161.2 Å³ per cell


No. 4
## TiTeIN2 (PBE)

Data for a relaxed TiTeIN2 crystal.

Unit cell a=4.0163 b=4.0163 c=7.2364 alpha=90.00 beta=90.00 gamma=90.00
Site moments in Bohr magnetons follow the coordinates.
Positions (direct):
I  0.0000  0.0000  0.0000  0.02
N  0.0000  0.5000  0.0000  0.03
N  0.5000  0.0000  0.0000  0.03
Te  0.0000  0.0000  0.5000  -0.09
Ti  0.5000  0.5000  0.5000  1.48

## Properties
E above lowest polymorph ... 1069.0 meV per atom
Energy relative to the elements, uncorrected ... 1659 meV/atom
V ... 116.7 Å³ per cell


No. 5
## TiTe2IN (PBE)

Data for a relaxed TiTe2IN crystal.

Unit cell a=4.8588 b=4.8588 c=4.6963 alpha=90.00 beta=90.00 gamma=90.00
Site moments in Bohr magnetons follow the coordinates.
Positions (direct):
I  0.0000  0.0000  0.5000  0.00
N  0.0000  0.0000  0.0000  0.00
Te  0.0000  0.5000  0.0000  -0.01
Te  0.5000  0.0000  0.0000  -0.01
Ti  0.5000  0.5000  0.5000  0.05

## Properties
E above lowest polymorph ... 721.1 meV per atom
Energy relative to the elements, uncorrected ... 823 meV/atom
V ... 110.9 Å³ per cell


No. 6
## VTeIN2 (PBE)

Data for a relaxed VTeIN2 crystal.

Unit cell a=4.0006 b=7.2585 c=4.0006 alpha=90.00 beta=90.00 gamma=90.00
Positions (direct):
I  0.0000  0.5000  0.0000
N  0.0000  0.0000  0.5000
N  0.5000  0.0000  0.0000
Te  0.0000  0.0000  0.0000
V  0.5000  0.5000  0.5000

## Properties
E above lowest polymorph ... 1058.4 meV per atom
Energy relative to the elements, uncorrected ... 1786 meV/atom
V ... 116.2 Å³ per cell